(1)
# La5Rh3 (GGA-PBE, relaxed)
data_La5Rh3
_chemical_formula_sum 'La10 Rh6'
_symmetry_space_group_name_H-M 'P 1'
_symmetry_Int_Tables_number 1
_cell_length_a 8.689
_cell_length_b 8.689
_cell_length_c 8.689
_cell_angle_alpha 97.82
_cell_angle_beta 97.82
_cell_angle_gamma 136.70
loop_
_symmetry_equiv_pos_as_xyz
'x,y,z'
loop_
_atom_site_label
_atom_site_fract_x
_atom_site_fract_y
_atom_site_fract_z
La1 0.087 0.790 0.878
La2 0.210 0.087 0.297
La3 0.250 0.750 0.500
La4 0.290 0.587 0.878
La5 0.413 0.290 0.703
La6 0.587 0.710 0.297
La7 0.710 0.413 0.122
La8 0.750 0.250 0.500
La9 0.790 0.913 0.703
La10 0.913 0.210 0.122
Rh1 0.156 0.344 0.500
Rh2 0.250 0.250 0.000
Rh3 0.344 0.844 0.188
Rh4 0.656 0.156 0.812
Rh5 0.750 0.750 0.000
Rh6 0.844 0.656 0.500
# Space-group type   No. 140
# Total magnetization   0.0 μB/f.u.
# Formation energy   -0.573 eV/atom
# Crystal system   tetragonal



(2)
# LaRh2 (GGA-PBE, relaxed)
data_LaRh2
_chemical_formula_sum 'La4 Rh8'
_symmetry_space_group_name_H-M 'P 1'
_symmetry_Int_Tables_number 1
_cell_length_a 4.269
_cell_length_b 4.269
_cell_length_c 14.795
_cell_angle_alpha 90.00
_cell_angle_beta 90.00
_cell_angle_gamma 90.00
loop_
_symmetry_equiv_pos_as_xyz
'x,y,z'
loop_
_atom_site_label
_atom_site_fract_x
_atom_site_fract_y
_atom_site_fract_z
La1 0.000 0.250 0.375
La2 0.000 0.750 0.625
La3 0.500 0.250 0.125
La4 0.500 0.750 0.875
Rh1 0.000 0.250 0.791
Rh2 0.000 0.250 0.959
Rh3 0.000 0.750 0.041
Rh4 0.000 0.750 0.209
Rh5 0.500 0.250 0.541
Rh6 0.500 0.250 0.709
Rh7 0.500 0.750 0.291
Rh8 0.500 0.750 0.459
# Space-group type   No. 141
# Total magnetization   0.0 μB/f.u.
# Formation energy   -0.501 eV/atom
# Crystal system   tetragonal



(3)
# La4Rh (GGA-PBE, relaxed)
data_La4Rh
_chemical_formula_sum 'La8 Rh2'
_symmetry_space_group_name_H-M 'P 1'
_symmetry_Int_Tables_number 1
_cell_length_a 9.194
_cell_length_b 9.194
_cell_length_c 3.748
_cell_angle_alpha 90.00
_cell_angle_beta 90.00
_cell_angle_gamma 90.00
loop_
_symmetry_equiv_pos_as_xyz
'x,y,z'
loop_
_atom_site_label
_atom_site_fract_x
_atom_site_fract_y
_atom_site_fract_z
La1 0.076 0.743 0.000
La2 0.243 0.424 0.500
La3 0.257 0.076 0.000
La4 0.424 0.757 0.500
La5 0.576 0.243 0.500
La6 0.743 0.924 0.000
La7 0.757 0.576 0.500
La8 0.924 0.257 0.000
Rh1 0.000 0.000 0.500
Rh2 0.500 0.500 0.000
# Space-group type   No. 87
# Total magnetization   0.0 μB/f.u.
# Formation energy   -0.271 eV/atom
# Crystal system   tetragonal



(4)
# La2Rh (GGA-PBE, relaxed)
data_La2Rh
_chemical_formula_sum 'La8 Rh4'
_symmetry_space_group_name_H-M 'P 1'
_symmetry_Int_Tables_number 1
_cell_length_a 3.910
_cell_length_b 14.631
_cell_length_c 5.881
_cell_angle_alpha 90.00
_cell_angle_beta 90.00
_cell_angle_gamma 90.00
loop_
_symmetry_equiv_pos_as_xyz
'x,y,z'
loop_
_atom_site_label
_atom_site_fract_x
_atom_site_fract_y
_atom_site_fract_z
La1 0.000 0.050 0.250
La2 0.000 0.227 0.750
La3 0.000 0.773 0.250
La4 0.000 0.950 0.750
La5 0.500 0.273 0.250
La6 0.500 0.450 0.750
La7 0.500 0.550 0.250
La8 0.500 0.727 0.750
Rh1 0.000 0.404 0.250
Rh2 0.000 0.596 0.750
Rh3 0.500 0.096 0.750
Rh4 0.500 0.904 0.250
# Space-group type   No. 63
# Total magnetization   0.0 μB/f.u.
# Formation energy   -0.469 eV/atom
# Crystal system   orthorhombic



(5)
# La2Rh (GGA-PBE, relaxed)
data_La2Rh
_chemical_formula_sum 'La8 Rh4'
_symmetry_space_group_name_H-M 'P 1'
_symmetry_Int_Tables_number 1
_cell_length_a 7.092
_cell_length_b 7.092
_cell_length_c 7.092
_cell_angle_alpha 90.00
_cell_angle_beta 90.00
_cell_angle_gamma 90.00
loop_
_symmetry_equiv_pos_as_xyz
'x,y,z'
loop_
_atom_site_label
_atom_site_fract_x
_atom_site_fract_y
_atom_site_fract_z
La1 0.250 0.250 0.250
La2 0.250 0.250 0.750
La3 0.250 0.750 0.250
La4 0.250 0.750 0.750
La5 0.750 0.250 0.250
La6 0.750 0.250 0.750
La7 0.750 0.750 0.250
La8 0.750 0.750 0.750
Rh1 0.000 0.000 0.000
Rh2 0.000 0.500 0.500
Rh3 0.500 0.000 0.500
Rh4 0.500 0.500 0.000
# Space-group type   No. 225
# Total magnetization   0.0 μB/f.u.
# Formation energy   -0.488 eV/atom
# Crystal system   cubic



(6)
# LaRh2 (GGA-PBE, relaxed)
data_LaRh2
_chemical_formula_sum 'La2 Rh4'
_symmetry_space_group_name_H-M 'P 1'
_symmetry_Int_Tables_number 1
_cell_length_a 3.681
_cell_length_b 3.681
_cell_length_c 8.547
_cell_angle_alpha 90.00
_cell_angle_beta 90.00
_cell_angle_gamma 90.00
loop_
_symmetry_equiv_pos_as_xyz
'x,y,z'
loop_
_atom_site_label
_atom_site_fract_x
_atom_site_fract_y
_atom_site_fract_z
La1 0.000 0.000 0.000
La2 0.500 0.500 0.500
Rh1 0.000 0.000 0.326
Rh2 0.000 0.000 0.674
Rh3 0.500 0.500 0.174
Rh4 0.500 0.500 0.826
# Space-group type   No. 139
# Total magnetization   0.0 μB/f.u.
# Formation energy   -0.294 eV/atom
# Crystal system   tetragonal



(7)
# La2Rh (GGA-PBE, relaxed)
data_La2Rh
_chemical_formula_sum 'La2 Rh1'
_symmetry_space_group_name_H-M 'P 1'
_symmetry_Int_Tables_number 1
_cell_length_a 4.194
_cell_length_b 4.194
_cell_length_c 6.630
_cell_angle_alpha 90.00
_cell_angle_beta 90.00
_cell_angle_gamma 120.00
loop_
_symmetry_equiv_pos_as_xyz
'x,y,z'
loop_
_atom_site_label
_atom_site_fract_x
_atom_site_fract_y
_atom_site_fract_z
La1 0.333 0.667 0.267
La2 0.667 0.333 0.733
Rh1 0.000 0.000 0.500
# Space-group type   No. 164
# Total magnetization   0.0 μB/f.u.
# Formation energy   -0.551 eV/atom
# Crystal system   trigonal



(8)
# La4Rh3 (GGA-PBE, relaxed)
data_La4Rh3
_chemical_formula_sum 'La4 Rh3'
_symmetry_space_group_name_H-M 'P 1'
_symmetry_Int_Tables_number 1
_cell_length_a 8.854
_cell_length_b 8.854
_cell_length_c 8.854
_cell_angle_alpha 32.92
_cell_angle_beta 32.92
_cell_angle_gamma 32.92
loop_
_symmetry_equiv_pos_as_xyz
'x,y,z'
loop_
_atom_site_label
_atom_site_fract_x
_atom_site_fract_y
_atom_site_fract_z
La1 0.125 0.125 0.125
La2 0.375 0.375 0.375
La3 0.625 0.625 0.625
La4 0.875 0.875 0.875
Rh1 0.253 0.253 0.253
Rh2 0.500 0.500 0.500
Rh3 0.747 0.747 0.747
# Space-group type   No. 166
# Total magnetization   0.0 μB/f.u.
# Formation energy   -0.629 eV/atom
# Crystal system   trigonal



(9)
# LaRh2 (GGA-PBE, relaxed)
data_LaRh2
_chemical_formula_sum 'La4 Rh8'
_symmetry_space_group_name_H-M 'P 1'
_symmetry_Int_Tables_number 1
_cell_length_a 6.444
_cell_length_b 6.444
_cell_length_c 6.444
_cell_angle_alpha 90.00
_cell_angle_beta 90.00
_cell_angle_gamma 90.00
loop_
_symmetry_equiv_pos_as_xyz
'x,y,z'
loop_
_atom_site_label
_atom_site_fract_x
_atom_site_fract_y
_atom_site_fract_z
La1 0.000 0.000 0.000
La2 0.000 0.500 0.500
La3 0.500 0.000 0.500
La4 0.500 0.500 0.000
Rh1 0.120 0.620 0.880
Rh2 0.120 0.880 0.380
Rh3 0.380 0.120 0.880
Rh4 0.380 0.380 0.380
Rh5 0.620 0.620 0.620
Rh6 0.620 0.880 0.120
Rh7 0.880 0.120 0.620
Rh8 0.880 0.380 0.120
# Space-group type   No. 205
# Total magnetization   0.0 μB/f.u.
# Formation energy   0.209 eV/atom
# Crystal system   cubic



(10)
# La4Rh3 (GGA-PBE, relaxed)
data_La4Rh3
_chemical_formula_sum 'La8 Rh6'
_symmetry_space_group_name_H-M 'P 1'
_symmetry_Int_Tables_number 1
_cell_length_a 3.991
_cell_length_b 3.991
_cell_length_c 24.289
_cell_angle_alpha 90.00
_cell_angle_beta 90.00
_cell_angle_gamma 90.00
loop_
_symmetry_equiv_pos_as_xyz
'x,y,z'
loop_
_atom_site_label
_atom_site_fract_x
_atom_site_fract_y
_atom_site_fract_z
La1 0.000 0.000 0.065
La2 0.000 0.000 0.309
La3 0.000 0.000 0.691
La4 0.000 0.000 0.935
La5 0.500 0.500 0.191
La6 0.500 0.500 0.435
La7 0.500 0.500 0.565
La8 0.500 0.500 0.809
Rh1 0.000 0.000 0.181
Rh2 0.000 0.000 0.500
Rh3 0.000 0.000 0.819
Rh4 0.500 0.500 0.000
Rh5 0.500 0.500 0.319
Rh6 0.500 0.500 0.681
# Space-group type   No. 139
# Total magnetization   0.0 μB/f.u.
# Formation energy   -0.579 eV/atom
# Crystal system   tetragonal



(11)
# La4Rh3 (GGA-PBE, relaxed)
data_La4Rh3
_chemical_formula_sum 'La8 Rh6'
_symmetry_space_group_name_H-M 'P 1'
_symmetry_Int_Tables_number 1
_cell_length_a 7.796
_cell_length_b 7.796
_cell_length_c 7.796
_cell_angle_alpha 109.47
_cell_angle_beta 109.47
_cell_angle_gamma 109.47
loop_
_symmetry_equiv_pos_as_xyz
'x,y,z'
loop_
_atom_site_label
_atom_site_fract_x
_atom_site_fract_y
_atom_site_fract_z
La1 0.000 0.388 0.500
La2 0.000 0.888 0.500
La3 0.112 0.112 0.112
La4 0.388 0.500 0.000
La5 0.500 0.000 0.388
La6 0.500 0.000 0.888
La7 0.612 0.612 0.612
La8 0.888 0.500 0.000
Rh1 0.125 0.750 0.875
Rh2 0.250 0.625 0.375
Rh3 0.375 0.250 0.625
Rh4 0.625 0.375 0.250
Rh5 0.750 0.875 0.125
Rh6 0.875 0.125 0.750
# Space-group type   No. 220
# Total magnetization   0.0 μB/f.u.
# Formation energy   -0.712 eV/atom
# Crystal system   cubic



(12)
# La5Rh3 (GGA-PBE, relaxed)
data_La5Rh3
_chemical_formula_sum 'La10 Rh6'
_symmetry_space_group_name_H-M 'P 1'
_symmetry_Int_Tables_number 1
_cell_length_a 7.753
_cell_length_b 11.911
_cell_length_c 4.643
_cell_angle_alpha 90.00
_cell_angle_beta 90.00
_cell_angle_gamma 90.00
loop_
_symmetry_equiv_pos_as_xyz
'x,y,z'
loop_
_atom_site_label
_atom_site_fract_x
_atom_site_fract_y
_atom_site_fract_z
La1 0.000 0.000 0.000
La2 0.208 0.500 0.500
La3 0.250 0.250 0.000
La4 0.250 0.750 0.000
La5 0.292 0.000 0.500
La6 0.500 0.500 0.000
La7 0.708 0.000 0.500
La8 0.750 0.250 0.000
La9 0.750 0.750 0.000
La10 0.792 0.500 0.500
Rh1 0.000 0.179 0.500
Rh2 0.000 0.500 0.000
Rh3 0.000 0.821 0.500
Rh4 0.500 0.000 0.000
Rh5 0.500 0.321 0.500
Rh6 0.500 0.679 0.500
# Space-group type   No. 65
# Total magnetization   0.0 μB/f.u.
# Formation energy   -0.447 eV/atom
# Crystal system   orthorhombic



Please write out number 7 again, unchanged.
# La2Rh (GGA-PBE, relaxed)
data_La2Rh
_chemical_formula_sum 'La2 Rh1'
_symmetry_space_group_name_H-M 'P 1'
_symmetry_Int_Tables_number 1
_cell_length_a 4.194
_cell_length_b 4.194
_cell_length_c 6.630
_cell_angle_alpha 90.00
_cell_angle_beta 90.00
_cell_angle_gamma 120.00
loop_
_symmetry_equiv_pos_as_xyz
'x,y,z'
loop_
_atom_site_label
_atom_site_fract_x
_atom_site_fract_y
_atom_site_fract_z
La1 0.333 0.667 0.267
La2 0.667 0.333 0.733
Rh1 0.000 0.000 0.500
# Space-group type   No. 164
# Total magnetization   0.0 μB/f.u.
# Formation energy   -0.551 eV/atom
# Crystal system   trigonal